The following is a DFT calculation (PBE) of a geometry-optimized La3NdDy2Er6 structure.

size of the total moment = 0.0 μB per cell
formation energy from the elements = 21 meV per atom
mass density = 8049 kg/m3
calculated volume = 389.8 Å³ per cell
D(E_F) = 15.04 states/eV/f.u.
SG = No. 12
crystal system = monoclinic

```
12
Lattice="3.113 -5.391 0.000 3.113 5.391 0.000 -2.073 0.000 11.613" Properties=species:S:1:pos:R:3 pbc="T T T"
La 0.000 0.000 0.000
La 3.113 1.796 0.000
La 3.113 -1.796 0.000
Nd 2.077 0.000 5.806
Dy 2.077 3.593 5.806
Dy 2.077 -3.593 5.806
Er 1.037 1.800 2.952
Er -0.002 0.000 8.661
Er 1.037 -1.800 2.952
Er 3.116 1.800 8.661
Er 4.156 0.000 2.952
Er 3.116 -1.800 8.661
```